Material: Al3ZnW
Method: DFT, PBE-GGA
State: relaxed

abc: 4.9028 4.9028 4.9028
angles: 90.00 90.00 90.00
Closest atoms and distances in Å follow each position.
Sites, in units of the cell vectors:
Al 0.5000 0.0000 0.0000  2 W 2.45
W 0.0000 0.0000 0.0000  6 Al 2.45
Zn 0.5000 0.5000 0.5000  12 Al 3.47
Al 0.0000 0.5000 0.0000  2 W 2.45
Al 0.0000 0.0000 0.5000  2 W 2.45

Calculated values
E above lowest polymorph, meV/atom: 722
Calculated formation energy, eV/atom: 0.840
Total magnetic moment, μB/f.u.: 0.00